1.
MgMn2As: relaxed, GGA-PBE.

Values from the calculation:
- E_form: 5.2 kJ/mol of atoms
- Spin magnetization: 6.11 μB/f.u.
- VASP energy: -6.092 eV per atom
- Symmetry: Immm, No. 71

a b c (Å): 4.8696 4.8696 3.8542
angles (deg): 66.67 66.67 46.77
Last column: nearest neighbours and their distance in Å.
Fractional positions:
Mg  0.2500  0.2500  0.2500  4 As 2.73, 8 Mn 2.79
As  0.7500  0.7500  0.7500  4 Mg 2.73, 8 Mn 2.79-2.80
Mn  0.5004  0.5004  0.4995  4 Mn 2.73, 4 As 2.79-2.80, 4 Mg 2.79
Mn  0.9996  0.9996  0.0005  4 Mn 2.73, 4 As 2.79-2.80, 4 Mg 2.79

2.
Ga2CuHg: relaxed, GGA-PBE.

Values from the calculation:
- E_form: 4.7 kJ/mol of atoms
- Spin magnetization: 0.00 μB/f.u.
- VASP energy: -2.564 eV per atom
- Symmetry: R-3m, No. 166

a b c (Å): 3.0974 3.0974 9.2943
angles (deg): 80.41 80.41 60.00
Last column: nearest neighbours and their distance in Å.
Fractional positions:
Ga  0.0987  0.0987  0.7038  3 Cu 2.58, 1 Hg 2.70
Ga  0.9013  0.9013  0.2962  3 Cu 2.58, 1 Hg 2.70
Cu  0.5000  0.5000  0.5000  6 Ga 2.58
Hg  0.0000  0.0000  0.0000  2 Ga 2.70

3.
Mn2Ni2Sb: relaxed, GGA-PBE.

Values from the calculation:
- Spin magnetization: 8.13 μB/f.u.
- VASP energy: -6.604 eV per atom
- Formation energy (no corrections): 0.201 eV/atom
- Symmetry: I4/mmm, No. 139

a b c (Å): 5.9485 5.9485 5.9485
angles (deg): 142.46 142.46 54.14
Last column: nearest neighbours and their distance in Å.
Fractional positions:
Mn  0.7500  0.2500  0.5000  4 Ni 2.42, 4 Mn 2.71
Mn  0.2500  0.7500  0.5000  4 Ni 2.42, 4 Mn 2.71
Ni  0.3899  0.3899  0.0000  1 Ni 2.33, 4 Mn 2.42
Ni  0.6101  0.6101  0.0000  1 Ni 2.33, 4 Mn 2.42
Sb  0.0000  0.0000  0.0000  8 Ni 2.95, 8 Mn 3.27

4.
Ce7GaGe5: relaxed, GGA-PBE.

Values from the calculation:
- E_form: -46.4 kJ/mol of atoms
- Spin magnetization: 4.58 μB/f.u.
- VASP energy: -5.685 eV per atom
- Symmetry: Imm2, No. 44

a b c (Å): 6.0141 7.9634 7.9634
angles (deg): 84.16 67.81 67.81
Last column: nearest neighbours and their distance in Å.
Fractional positions:
Ge  0.0209  0.0137  0.4993  1 Ge 2.68, 1 Ce 2.98
Ge  0.4661  0.0137  0.4993  1 Ge 2.68, 1 Ce 2.98
Ge  0.0209  0.4993  0.0137  1 Ge 2.68, 1 Ce 2.98
Ge  0.4661  0.4993  0.0137  1 Ge 2.68, 1 Ce 2.98
Ge  0.7641  0.7359  0.7359  6 Ce 2.99-3.02, 4 Ge 3.22
Ce  0.6777  0.3223  0.3223  1 Ga 3.13, 4 Ge 3.15, 2 Ce 3.30
Ce  0.9806  0.3302  0.7086  5 Ge 2.99-3.05, 1 Ga 3.32
Ce  0.2816  0.7184  0.7184  6 Ge 3.01-3.08, 1 Ga 3.02
Ce  0.3122  0.1878  0.1878  2 Ce 2.75, 4 Ge 3.00
Ce  0.5219  0.1411  0.8151  1 Ce 2.75, 3 Ge 2.98-3.02
Ce  0.9806  0.7086  0.3302  5 Ge 2.99-3.05, 1 Ga 3.32
Ce  0.5219  0.8151  0.1411  1 Ce 2.75, 3 Ge 2.98-3.02
Ga  0.9852  0.0148  0.0148  4 Ce 3.02-3.32

5.
SrScB2O6: relaxed, GGA-PBE.

Values from the calculation:
- Spin magnetization: 1.02 μB/f.u.
- VASP energy: -7.783 eV per atom
- Formation energy (no corrections): -2.672 eV/atom
- Symmetry: C2/c, No. 15

a b c (Å): 6.3839 6.3839 6.1547
angles (deg): 102.40 102.40 91.50
Last column: nearest neighbours and their distance in Å.
Fractional positions:
O  0.0899  0.5769  0.7824  1 B 1.38
O  0.2962  0.4956  0.3833  1 B 1.39
O  0.5044  0.7038  0.1167  1 B 1.39
O  0.8219  0.8480  0.3964  1 B 1.36
O  0.1520  0.1781  0.1036  1 B 1.36
O  0.9101  0.4231  0.2176  1 B 1.38
O  0.5769  0.0899  0.2824  1 B 1.38
O  0.1781  0.1520  0.6036  1 B 1.36
O  0.4956  0.2962  0.8833  1 B 1.39
O  0.4231  0.9101  0.7176  1 B 1.38
O  0.7038  0.5044  0.6167  1 B 1.39
O  0.8480  0.8219  0.8964  1 B 1.36
B  0.6371  0.8811  0.2541  3 O 1.36-1.39
B  0.8811  0.6371  0.7541  3 O 1.36-1.39
B  0.1189  0.3629  0.2459  3 O 1.36-1.39
B  0.3629  0.1189  0.7459  3 O 1.36-1.39
Sc  0.5932  0.4068  0.2500  6 O 2.08-2.26
Sc  0.4068  0.5932  0.7500  6 O 2.08-2.26
Sr  0.8467  0.1533  0.7500  6 O 2.47-2.66
Sr  0.1533  0.8467  0.2500  6 O 2.47-2.66

6.
Ce2MnReN5: relaxed, GGA-PBE.

Values from the calculation:
- Spin magnetization: 4.38 μB/f.u.
- VASP energy: -9.067 eV per atom
- Formation energy (no corrections): -0.721 eV/atom
- Symmetry: P4/mmm, No. 123

a b c (Å): 3.8543 3.8543 8.0432
angles (deg): 90.00 90.00 90.00
Last column: nearest neighbours and their distance in Å.
Fractional positions:
Re  0.0000  0.0000  0.5000  6 N 1.93-2.12
Ce  0.5000  0.5000  0.2687  1 N 2.16
Ce  0.5000  0.5000  0.7313  1 N 2.16
N  0.5000  0.0000  0.5000  2 Re 1.93
N  0.0000  0.0000  0.2361  1 Mn 1.90, 1 Re 2.12
N  0.0000  0.5000  0.5000  2 Re 1.93
N  0.5000  0.5000  0.0000  2 Ce 2.16
N  0.0000  0.0000  0.7639  1 Mn 1.90, 1 Re 2.12
Mn  0.0000  0.0000  0.0000  2 N 1.90

7.
Nd6TmAl: relaxed, GGA-PBE.

Values from the calculation:
- E_form: -6.1 kJ/mol of atoms
- Energy above the lowest structure with this stoichiometry: 0.0 meV per atom
- Spin magnetization: 0.00 μB/f.u.
- VASP energy: -4.665 eV per atom
- Symmetry: P4/mmm, No. 123

a b c (Å): 4.9856 4.9856 10.1941
angles (deg): 90.00 90.00 90.00
Last column: nearest neighbours and their distance in Å.
Fractional positions:
Nd  0.5000  0.5000  0.0000  4 Tm 3.53, 8 Nd 3.64
Nd  0.0000  0.5000  0.2608  8 Nd 3.49-3.64, 2 Al 3.49, 2 Tm 3.64
Nd  0.5000  0.5000  0.5000  8 Nd 3.49, 4 Al 3.53
Nd  0.0000  0.5000  0.7392  8 Nd 3.49-3.64, 2 Al 3.49, 2 Tm 3.64
Nd  0.5000  0.0000  0.2608  8 Nd 3.49-3.64, 2 Al 3.49, 2 Tm 3.64
Nd  0.5000  0.0000  0.7392  8 Nd 3.49-3.64, 2 Al 3.49, 2 Tm 3.64
Tm  0.0000  0.0000  0.0000  12 Nd 3.53-3.64
Al  0.0000  0.0000  0.5000  12 Nd 3.49-3.53

8.
Er2Ag2AuO6: relaxed, GGA-PBE.

Values from the calculation:
- Spin magnetization: 0.99 μB/f.u.
- VASP energy: -5.894 eV per atom
- Formation energy (no corrections): -1.544 eV/atom
- Symmetry: C2/m, No. 12

a b c (Å): 5.9486 5.9486 6.3643
angles (deg): 85.77 85.77 121.57
Last column: nearest neighbours and their distance in Å.
Fractional positions:
Ag  0.1610  0.8390  0.0000  2 O 2.09
Ag  0.8390  0.1610  0.0000  2 O 2.09
O  0.3354  0.3354  0.3458  1 Au 2.04, 2 Er 2.23
O  0.0359  0.7020  0.3237  1 Ag 2.09, 1 Au 2.26, 2 Er 2.26-2.30
O  0.9641  0.2980  0.6763  1 Ag 2.09, 1 Au 2.26, 2 Er 2.26-2.30
O  0.6646  0.6646  0.6542  1 Au 2.04, 2 Er 2.23
O  0.2980  0.9641  0.6763  1 Ag 2.09, 1 Au 2.26, 2 Er 2.26-2.30
O  0.7020  0.0359  0.3237  1 Ag 2.09, 1 Au 2.26, 2 Er 2.26-2.30
Er  0.6613  0.3387  0.5000  6 O 2.23-2.30
Er  0.3387  0.6613  0.5000  6 O 2.23-2.30
Au  0.0000  0.0000  0.5000  6 O 2.04-2.26

9.
Zr2SbS: relaxed, GGA-PBE.

Values from the calculation:
- Energy above the lowest structure with this stoichiometry: 273.8 meV per atom
- Spin magnetization: 0.00 μB/f.u.
- VASP energy: -7.134 eV per atom
- Formation energy (no corrections): -0.797 eV/atom
- Symmetry: Fm-3m, No. 225

a b c (Å): 4.8576 4.8576 4.8576
angles (deg): 60.00 60.00 60.00
Last column: nearest neighbours and their distance in Å.
Fractional positions:
Zr  0.2500  0.2500  0.2500  4 Sb 2.97, 4 S 2.97
Zr  0.7500  0.7500  0.7500  4 S 2.97, 4 Sb 2.97
S  0.0000  0.0000  0.0000  8 Zr 2.97
Sb  0.5000  0.5000  0.5000  8 Zr 2.97

10.
ThZrTcMo: relaxed, GGA-PBE.

Values from the calculation:
- E_form: -2.5 kJ/mol of atoms
- Spin magnetization: 0.00 μB/f.u.
- VASP energy: -9.317 eV per atom
- Symmetry: F-43m, No. 216

a b c (Å): 4.8530 4.8530 4.8530
angles (deg): 60.00 60.00 60.00
Last column: nearest neighbours and their distance in Å.
Fractional positions:
Zr  0.0000  0.0000  0.0000  4 Mo 2.97, 4 Tc 2.97
Tc  0.2500  0.2500  0.2500  4 Zr 2.97, 4 Th 2.97
Th  0.5000  0.5000  0.5000  4 Mo 2.97, 4 Tc 2.97
Mo  0.7500  0.7500  0.7500  4 Zr 2.97, 4 Th 2.97

11.
CaMo2Pt: relaxed, GGA-PBE.

Values from the calculation:
- E_form: 25.7 kJ/mol of atoms
- Energy above the lowest structure with this stoichiometry: 217.1 meV per atom
- Spin magnetization: 0.00 μB/f.u.
- VASP energy: -7.159 eV per atom
- Symmetry: P2/m, No. 10

a b c (Å): 5.1316 2.7873 5.0316
angles (deg): 83.87 90.00 90.00
Last column: nearest neighbours and their distance in Å.
Fractional positions:
Pt  0.5000  0.2500  0.2500  4 Ca 2.74-3.00, 2 Pt 2.79, 4 Mo 2.93
Mo  0.0000  0.0765  0.9960  4 Mo 2.56-2.83
Mo  0.0000  0.4235  0.5040  4 Mo 2.56-2.83
Ca  0.5000  0.7500  0.7500  4 Pt 2.74-3.00, 2 Ca 2.79, 4 Mo 3.03

12.
Pr3Ru: relaxed, GGA-PBE.

Values from the calculation:
- E_form: -6.0 kJ/mol of atoms
- Spin magnetization: 0.00 μB/f.u.
- VASP energy: -5.965 eV per atom
- Symmetry: Imm2, No. 44

a b c (Å): 3.7925 5.7458 6.4662
angles (deg): 116.38 107.05 90.00
Last column: nearest neighbours and their distance in Å.
Fractional positions:
Pr  0.6937  0.0952  0.3874  2 Ru 2.87
Pr  0.3063  0.7079  0.6126  2 Ru 2.87
Pr  0.5000  0.3971  0.0000  2 Ru 3.12
Ru  0.0000  0.9665  0.0000  6 Pr 2.87-3.12

- Which formula does entry 6 have?
  Ce2MnReN5